Below is Fe3S after structural relaxation, with properties calculated at the PBE level.

The total energy comes out at -7.1389 eV per atom. As for the total magnetization: 8.3 μB per formula unit.

a = 5.1461 Å, b = 5.1461 Å, c = 4.2532 Å
α = 90.00°, β = 90.00°, γ = 120.00°
Last column: nearest neighbours and their distance in Å.
Space group P6_3/mmc (No. 194)
One atom of each set of equivalent atoms:
Fe: 0.1612 0.3224 0.2500  8 Fe 2.49-2.66, 4 S 2.57-2.62
S: 0.3333 0.6667 0.7500  12 Fe 2.57-2.62